[1]
# PBE TlZnMo3, relaxed
# E above lowest polymorph = 0.0 meV per atom
# E_tot = -5.652 eV per atom
# volume = 98.3 Å³ per cell
# spin magnetization = 0.00 μB per formula unit
# DOS(E_F) = 7.37 states/eV/cell
# ΔH_f (0 K) = 1.58 eV per atom
data_TlZnMo3
_chemical_formula_sum 'Tl1 Zn1 Mo3'
_cell_length_a 4.616
_cell_length_b 4.616
_cell_length_c 4.616
_cell_angle_alpha 90.00
_cell_angle_beta 90.00
_cell_angle_gamma 90.00
_space_group_name_H-M_alt 'P m -3 m'
_space_group_IT_number 221
_space_group_name_Hall '-P 4 2 3'
loop_
_atom_site_label
_atom_site_type_symbol
_atom_site_fract_x
_atom_site_fract_y
_atom_site_fract_z
Tl1 Tl 0.000 0.000 0.000
Zn1 Zn 0.500 0.500 0.500
Mo1 Mo 0.000 0.500 0.500

---

[2]
# PBE Tl3ZnMo, relaxed
# E above lowest polymorph = 0.0 meV per atom
# E_tot = -3.109 eV per atom
# volume = 160.9 Å³ per cell
# spin magnetization = 0.00 μB per formula unit
# DOS(E_F) = 3.66 states/eV/cell
# ΔH_f (0 K) = 0.73 eV per atom
data_Tl3ZnMo
_chemical_formula_sum 'Tl3 Zn1 Mo1'
_cell_length_a 5.439
_cell_length_b 5.439
_cell_length_c 5.439
_cell_angle_alpha 90.00
_cell_angle_beta 90.00
_cell_angle_gamma 90.00
_space_group_name_H-M_alt 'P m -3 m'
_space_group_IT_number 221
_space_group_name_Hall '-P 4 2 3'
loop_
_atom_site_label
_atom_site_type_symbol
_atom_site_fract_x
_atom_site_fract_y
_atom_site_fract_z
Tl1 Tl 0.000 0.000 0.500
Zn1 Zn 0.500 0.500 0.500
Mo1 Mo 0.000 0.000 0.000

---

[3]
# PBE TlZn2Mo2, relaxed
# E above lowest polymorph = 0.0 meV per atom
# E_tot = -4.914 eV per atom
# volume = 179.5 Å³ per cell
# spin magnetization = 0.00 μB per formula unit
# DOS(E_F) = 5.66 states/eV/cell
# ΔH_f (0 K) = 0.40 eV per atom
data_TlZn2Mo2
_chemical_formula_sum 'Tl2 Zn4 Mo4'
_cell_length_a 7.198
_cell_length_b 7.198
_cell_length_c 3.465
_cell_angle_alpha 90.00
_cell_angle_beta 90.00
_cell_angle_gamma 90.00
_space_group_name_H-M_alt 'P 4/m b m'
_space_group_IT_number 127
_space_group_name_Hall '-P 4 2ab'
loop_
_atom_site_label
_atom_site_type_symbol
_atom_site_fract_x
_atom_site_fract_y
_atom_site_fract_z
Tl1 Tl 0.000 0.000 0.000
Zn1 Zn 0.178 0.322 0.500
Mo1 Mo 0.115 0.615 0.000

---

[4]
# PBE Tl4ZnMo, relaxed
# E_tot = -2.689 eV per atom
# volume = 692.5 Å³ per cell
# spin magnetization = 4.29 μB per formula unit
# DOS(E_F) = 16.25 states/eV/cell
# ΔH_f (0 K) = 0.91 eV per atom
data_Tl4ZnMo
_chemical_formula_sum 'Tl16 Zn4 Mo4'
_cell_length_a 8.847
_cell_length_b 8.847
_cell_length_c 8.847
_cell_angle_alpha 90.00
_cell_angle_beta 90.00
_cell_angle_gamma 90.00
_space_group_name_H-M_alt 'F -4 3 m'
_space_group_IT_number 216
_space_group_name_Hall 'F -4 2 3'
loop_
_atom_site_label
_atom_site_type_symbol
_atom_site_fract_x
_atom_site_fract_y
_atom_site_fract_z
Tl1 Tl 0.125 0.125 0.125
Zn1 Zn 0.250 0.250 0.750
Mo1 Mo 0.000 0.000 0.500

---

[5]
# PBE TlZn3Mo, relaxed
# E above lowest polymorph = 0.0 meV per atom
# E_tot = -2.587 eV per atom
# volume = 128.5 Å³ per cell
# spin magnetization = 2.06 μB per formula unit
# DOS(E_F) = 4.95 states/eV/cell
# ΔH_f (0 K) = 0.82 eV per atom
data_TlZn3Mo
_chemical_formula_sum 'Tl1 Zn3 Mo1'
_cell_length_a 5.046
_cell_length_b 5.046
_cell_length_c 5.046
_cell_angle_alpha 90.00
_cell_angle_beta 90.00
_cell_angle_gamma 90.00
_space_group_name_H-M_alt 'P m -3 m'
_space_group_IT_number 221
_space_group_name_Hall '-P 4 2 3'
loop_
_atom_site_label
_atom_site_type_symbol
_atom_site_fract_x
_atom_site_fract_y
_atom_site_fract_z
Tl1 Tl 0.000 0.000 0.000
Zn1 Zn 0.000 0.500 0.500
Mo1 Mo 0.500 0.500 0.500

---

[6]
# PBE Zr2TlZnMo, relaxed
# E_tot = -4.729 eV per atom
# volume = 130.6 Å³ per cell
# spin magnetization = 0.00 μB per formula unit
# DOS(E_F) = 5.58 states/eV/cell
# ΔH_f (0 K) = 1.58 eV per atom
data_Zr2TlZnMo
_chemical_formula_sum 'Zr2 Tl1 Zn1 Mo1'
_cell_length_a 5.324
_cell_length_b 5.324
_cell_length_c 4.606
_cell_angle_alpha 90.00
_cell_angle_beta 90.00
_cell_angle_gamma 90.00
_space_group_name_H-M_alt 'P 4/m m m'
_space_group_IT_number 123
_space_group_name_Hall '-P 4 2'
loop_
_atom_site_label
_atom_site_type_symbol
_atom_site_fract_x
_atom_site_fract_y
_atom_site_fract_z
Zr1 Zr 0.000 0.500 0.000
Tl1 Tl 0.000 0.000 0.000
Zn1 Zn 0.000 0.000 0.500
Mo1 Mo 0.500 0.500 0.500